Entry 1:
{"formula": "Be2P2Pb", "functional": "PBE-GGA", "state": "relaxed", "de_polymorph_ev_per_atom": 0.522, "space_group": "P4/mbm", "e_form_mev_per_atom": 415, "e_tot_ev_per_atom": -3.981, "density_g_cm3": 5.3, "lattice_angstrom": [[7.516, 0.000, 0.000], [0.000, 7.516, 0.000], [0.000, 0.000, 3.165]], "species": ["Be", "Be", "Be", "Be", "P", "P", "P", "P", "Pb", "Pb"], "fractional_positions": [[0.098, 0.402, 0.000], [0.402, 0.902, 0.000], [0.598, 0.098, 0.000], [0.902, 0.598, 0.000], [0.122, 0.622, 0.500], [0.378, 0.122, 0.500], [0.622, 0.878, 0.500], [0.878, 0.378, 0.500], [0.000, 0.000, 0.500], [0.500, 0.500, 0.500]]}

Entry 2:
{"formula": "BePPb3", "functional": "PBE-GGA", "state": "relaxed", "de_polymorph_ev_per_atom": 0.000, "space_group": "Pm-3m", "e_form_mev_per_atom": 529, "e_tot_ev_per_atom": -3.523, "density_g_cm3": 8.6, "lattice_angstrom": [[5.035, 0.000, 0.000], [0.000, 5.035, 0.000], [0.000, 0.000, 5.035]], "species": ["Be", "P", "Pb", "Pb", "Pb"], "fractional_positions": [[0.000, 0.000, 0.000], [0.500, 0.500, 0.500], [0.000, 0.000, 0.500], [0.000, 0.500, 0.000], [0.500, 0.000, 0.000]]}

Entry 3:
{"formula": "Be2PPbSe", "functional": "PBE-GGA", "state": "relaxed", "space_group": "P4/mmm", "e_tot_ev_per_atom": -2.827, "density_g_cm3": 4.9, "raw_formation_energy_ev_per_atom": 1.1836, "lattice_angstrom": [[4.527, 0.000, 0.000], [0.000, 4.527, 0.000], [0.000, 0.000, 5.575]], "species": ["Be", "Be", "P", "Pb", "Se"], "fractional_positions": [[0.000, 0.500, 0.000], [0.500, 0.000, 0.000], [0.000, 0.000, 0.500], [0.000, 0.000, 0.000], [0.500, 0.500, 0.500]]}

Entry 4:
{"formula": "BePPb2Se", "functional": "PBE-GGA", "state": "relaxed", "space_group": "P4/mmm", "e_tot_ev_per_atom": -3.020, "density_g_cm3": 5.7, "raw_formation_energy_ev_per_atom": 0.9873, "lattice_angstrom": [[5.678, 0.000, 0.000], [0.000, 5.678, 0.000], [0.000, 0.000, 4.811]], "species": ["Be", "P", "Pb", "Pb", "Se"], "fractional_positions": [[0.000, 0.000, 0.000], [0.500, 0.500, 0.000], [0.000, 0.500, 0.500], [0.500, 0.000, 0.500], [0.500, 0.500, 0.500]]}

Entry 5:
{"formula": "BeTc2PPb", "functional": "PBE-GGA", "state": "relaxed", "space_group": "P4/mmm", "e_form_mev_per_atom": 437, "e_tot_ev_per_atom": -6.278, "density_g_cm3": 9.0, "lattice_angstrom": [[4.552, 0.000, 0.000], [0.000, 4.552, 0.000], [0.000, 0.000, 3.967]], "species": ["Be", "Tc", "Tc", "P", "Pb"], "fractional_positions": [[0.000, 0.000, 0.000], [0.000, 0.500, 0.500], [0.500, 0.000, 0.500], [0.000, 0.000, 0.500], [0.500, 0.500, 0.000]]}

Entry 6:
{"formula": "BeTlP2Pb", "functional": "PBE-GGA", "state": "relaxed", "space_group": "P4/mmm", "e_form_mev_per_atom": 1517, "e_tot_ev_per_atom": -2.607, "density_g_cm3": 4.8, "lattice_angstrom": [[5.357, 0.000, 0.000], [0.000, 5.357, 0.000], [0.000, 0.000, 5.828]], "species": ["Be", "Tl", "P", "P", "Pb"], "fractional_positions": [[0.000, 0.000, 0.000], [0.500, 0.500, 0.000], [0.000, 0.500, 0.500], [0.500, 0.000, 0.500], [0.500, 0.500, 0.500]]}

Entry 7:
{"formula": "Be2PPd", "functional": "PBE-GGA", "state": "relaxed", "space_group": "I-42d", "e_form_mev_per_atom": 22, "e_tot_ev_per_atom": -4.492, "density_g_cm3": 5.0, "lattice_angstrom": [[-1.897, 1.897, 7.107], [1.897, -1.897, 7.107], [1.897, 1.897, -7.107]], "species": ["Be", "Be", "Be", "Be", "P", "P", "Pd", "Pd"], "fractional_positions": [[0.084, 0.625, 0.959], [0.375, 0.334, 0.459], [0.666, 0.125, 0.041], [0.875, 0.916, 0.541], [0.000, 0.000, 0.000], [0.750, 0.250, 0.500], [0.250, 0.750, 0.500], [0.500, 0.500, 0.000]]}

Entry 8:
{"formula": "BePPd2", "functional": "PBE-GGA", "state": "relaxed", "space_group": "I-42d", "e_form_mev_per_atom": -136, "e_tot_ev_per_atom": -5.016, "density_g_cm3": 7.3, "lattice_angstrom": [[-1.923, 1.923, 7.820], [1.923, -1.923, 7.820], [1.923, 1.923, -7.820]], "species": ["Be", "Be", "P", "P", "Pd", "Pd", "Pd", "Pd"], "fractional_positions": [[0.000, 0.000, 0.000], [0.750, 0.250, 0.500], [0.250, 0.750, 0.500], [0.500, 0.500, 0.000], [0.127, 0.625, 0.002], [0.375, 0.377, 0.502], [0.623, 0.125, 0.998], [0.875, 0.873, 0.498]]}

Entry 9:
{"formula": "BePPd3", "functional": "PBE-GGA", "state": "relaxed", "de_polymorph_ev_per_atom": 0.000, "space_group": "Pm-3m", "e_form_mev_per_atom": 148, "e_tot_ev_per_atom": -4.795, "density_g_cm3": 7.9, "lattice_angstrom": [[4.220, 0.000, 0.000], [0.000, 4.220, 0.000], [0.000, 0.000, 4.220]], "species": ["Be", "P", "Pd", "Pd", "Pd"], "fractional_positions": [[0.000, 0.000, 0.000], [0.500, 0.500, 0.500], [0.000, 0.000, 0.500], [0.000, 0.500, 0.000], [0.500, 0.000, 0.000]]}

Entry 10:
{"formula": "Be2PPd6", "functional": "PBE-GGA", "state": "relaxed", "space_group": "P2_1/c", "e_form_mev_per_atom": -418, "e_tot_ev_per_atom": -5.309, "density_g_cm3": 9.2, "lattice_angstrom": [[5.311, 0.000, 0.000], [0.000, 5.989, 0.000], [-4.838, 0.000, 7.778]], "species": ["Be", "Be", "Be", "Be", "P", "P", "Pd", "Pd", "Pd", "Pd", "Pd", "Pd", "Pd", "Pd", "Pd", "Pd", "Pd", "Pd"], "fractional_positions": [[0.186, 0.126, 0.249], [0.186, 0.374, 0.749], [0.814, 0.626, 0.251], [0.814, 0.874, 0.751], [0.000, 0.000, 0.500], [0.000, 0.500, 0.000], [0.110, 0.157, 0.933], [0.110, 0.343, 0.433], [0.300, 0.696, 0.935], [0.300, 0.804, 0.435], [0.425, 0.031, 0.761], [0.425, 0.469, 0.261], [0.575, 0.531, 0.739], [0.575, 0.969, 0.239], [0.700, 0.196, 0.565], [0.700, 0.304, 0.065], [0.890, 0.657, 0.567], [0.890, 0.843, 0.067]]}